Entry 1:
BPt3Se, optimized geometry, DFT GGA-PBE; uncorrected formation energy = 1457 meV/atom; calculated volume = 103.9 Å³/cell; total moment = 0.0 μB/cell; excess energy over the best structure of this formula in the dataset = 1295 meV per atom; space group = Pm-3m, No. 221
1.0
-4.6570 -0.3229 0.5593
0.6308 -1.4029 4.4428
-0.1382 4.4757 1.4329
B Se Pt
1 1 3
direct
0.5000 0.5000 0.5000 B
0.0000 0.0000 0.0000 Se
0.0000 0.5000 0.0000 Pt
0.0000 0.0000 0.5000 Pt
0.5000 0.0000 0.0000 Pt

Entry 2:
DyTm4Cd5, optimized geometry, DFT GGA-PBE; calculated volume = 254.4 Å³/cell; total moment = 0.0 μB/cell; energy relative to the elements = -30 kJ per mole of atoms; space group = P4/mmm, No. 123
1.0
-3.1484 1.0681 1.6245
-1.7415 -2.9238 -1.4527
4.3389 -10.0439 15.0133
Dy Tm Cd
1 4 5
direct
0.0000 0.0000 0.0000 Dy
0.0000 0.0000 0.2016 Tm
0.0000 0.0000 0.4006 Tm
0.0000 0.0000 0.5994 Tm
0.0000 0.0000 0.7984 Tm
0.5000 0.5000 0.1028 Cd
0.5000 0.5000 0.3010 Cd
0.5000 0.5000 0.5000 Cd
0.5000 0.5000 0.6990 Cd
0.5000 0.5000 0.8972 Cd

Entry 3:
ZnTc, optimized geometry, DFT GGA-PBE; calculated volume = 57.7 Å³/cell; total moment = 0.0 μB/cell; energy relative to the elements = 7 kJ per mole of atoms; excess energy over the best structure of this formula in the dataset = 118 meV per atom; space group = Pmma, No. 51
1.0
-1.9832 1.4354 -3.5393
2.1179 -0.9442 -1.5697
-0.1044 -5.1611 -2.0346
Tc Zn
2 2
direct
0.7500 0.1324 0.3675 Tc
0.2500 0.8676 0.6325 Tc
0.7500 0.1399 0.8599 Zn
0.2500 0.8601 0.1401 Zn

| no. | final energy (Ry per atom) | mass density (g/cm³) | DOS at the Fermi energy (states/eV per atom) |
| --- | --- | --- | --- |
| 1 | -0.3087 | 10.786 | 0.4783 |
| 2 | -0.2219 | 9.142 | 0.8759 |
| 3 | -0.4221 | 9.403 | 0.6301 |